A plane-wave DFT calculation with PBE was carried out for a relaxed LiTaRh2 crystal.

Properties
- formation energy (eV/atom) = -0.27
- size of the total moment (μB/f.u.) = 0.0

Unit cell a=2.8024 b=4.0443 c=5.1919 alpha=90.00 beta=90.00 gamma=90.00
Closest atoms and distances in Å follow each position.
Fractional positions:
Li 0.0000 0.0000 0.0000  6 Rh 2.51-2.68, 2 Li 2.80
Ta 0.5000 0.5000 0.7095  5 Rh 2.44-2.72
Rh 0.0000 0.0000 0.4844  2 Li 2.51-2.68, 4 Ta 2.72, 2 Rh 2.80
Rh 0.5000 0.5000 0.1798  1 Ta 2.44, 4 Li 2.63